Entry 1:
The following is a DFT calculation (GGA-PBE) of Na6LiTl after structural relaxation.

Cell: 5.0769 5.0769 9.7961 Å, 90.00 90.00 90.00°
Closest atoms and distances in Å follow each position.
Element x y z (fractional)
Na 0.0000 0.0000 0.0000  8 Na 3.49, 4 Tl 3.59
Na 0.0000 0.0000 0.5000  8 Na 3.56, 4 Li 3.59
Na 0.0000 0.5000 0.2450  2 Tl 3.49, 8 Na 3.49-3.59, 2 Li 3.56
Na 0.0000 0.5000 0.7550  8 Na 3.49-3.59, 2 Tl 3.49, 2 Li 3.56
Na 0.5000 0.0000 0.2450  2 Tl 3.49, 8 Na 3.49-3.59, 2 Li 3.56
Na 0.5000 0.0000 0.7550  8 Na 3.49-3.59, 2 Tl 3.49, 2 Li 3.56
Li 0.5000 0.5000 0.5000  12 Na 3.56-3.59
Tl 0.5000 0.5000 0.0000  12 Na 3.49-3.59

Computed properties:
- Offset from the most stable computed form: 0.006 eV per atom
- Crystal system: tetragonal
- Density: 2.3 g/cm³
- DOS at the Fermi energy: 2.76 states/eV/f.u.
- Formation energy from the elements: -15 meV per atom

Entry 2:
The following is a DFT calculation (GGA-PBE) of Na6LiTl10 after structural relaxation.

Cell: 9.1551 9.1551 6.6399 Å, 90.00 90.00 120.00°
Closest atoms and distances in Å follow each position.
Element x y z (fractional)
Na 0.0000 0.3893 0.2779  8 Tl 3.17-3.42
Na 0.0000 0.6107 0.7221  8 Tl 3.17-3.42
Na 0.3893 0.0000 0.2779  8 Tl 3.17-3.42
Na 0.3893 0.3893 0.7221  8 Tl 3.17-3.42
Na 0.6107 0.0000 0.7221  8 Tl 3.17-3.42
Na 0.6107 0.6107 0.2779  8 Tl 3.17-3.42
Li 0.0000 0.0000 0.5000  6 Tl 3.04
Tl 0.0000 0.2510 0.7988  1 Li 3.04, 3 Na 3.17-3.33
Tl 0.0000 0.7490 0.2012  1 Li 3.04, 3 Na 3.17-3.33
Tl 0.2510 0.0000 0.7988  1 Li 3.04, 3 Na 3.17-3.33
Tl 0.2510 0.2510 0.2012  1 Li 3.04, 3 Na 3.17-3.33
Tl 0.3333 0.6667 0.0000  2 Tl 3.32, 6 Na 3.38
Tl 0.3333 0.6667 0.5000  6 Na 3.19, 2 Tl 3.32
Tl 0.6667 0.3333 0.0000  2 Tl 3.32, 6 Na 3.38
Tl 0.6667 0.3333 0.5000  6 Na 3.19, 2 Tl 3.32
Tl 0.7490 0.0000 0.2012  1 Li 3.04, 3 Na 3.17-3.33
Tl 0.7490 0.7490 0.7988  1 Li 3.04, 3 Na 3.17-3.33

Computed properties:
- Crystal system: trigonal
- Density: 7.5 g/cm³
- DOS at the Fermi energy: 8.40 states/eV/f.u.
- Formation energy from the elements: -67 meV per atom

Entry 3:
The following is a DFT calculation (GGA-PBE) of Na3LiTl after structural relaxation.

Cell: 5.5852 5.5852 5.5852 Å, 90.00 90.00 90.00°
Closest atoms and distances in Å follow each position.
Element x y z (fractional)
Na 0.0000 0.0000 0.5000  2 Li 2.79
Na 0.0000 0.5000 0.0000  2 Li 2.79
Na 0.5000 0.0000 0.0000  2 Li 2.79
Li 0.0000 0.0000 0.0000  6 Na 2.79
Tl 0.5000 0.5000 0.5000  12 Na 3.95

Computed properties:
- Offset from the most stable computed form: 0.262 eV per atom
- Crystal system: cubic
- Density: 2.7 g/cm³
- DOS at the Fermi energy: 2.29 states/eV/f.u.
- Formation energy from the elements: 217 meV per atom

Entry 4:
The following is a DFT calculation (GGA-PBE) of NaLiTl after structural relaxation.

Cell: 3.6648 3.6648 11.0618 Å, 90.00 90.00 90.00°
Closest atoms and distances in Å follow each position.
Element x y z (fractional)
Na 0.0000 0.0000 0.0000  5 Li 3.31-3.47, 5 Tl 3.32-3.46, 4 Na 3.66
Na 0.5000 0.5000 0.5000  5 Li 3.31-3.47, 5 Tl 3.32-3.46, 4 Na 3.66
Li 0.0000 0.0000 0.3140  4 Tl 2.95
Li 0.5000 0.5000 0.8140  4 Tl 2.95
Tl 0.0000 0.0000 0.6871  4 Li 2.95
Tl 0.5000 0.5000 0.1871  4 Li 2.95

Computed properties:
- Offset from the most stable computed form: 0.007 eV per atom
- Crystal system: tetragonal
- Density: 5.2 g/cm³
- DOS at the Fermi energy: 1.23 states/eV/f.u.
- Formation energy from the elements: -121 meV per atom

Entry 5:
The following is a DFT calculation (GGA-PBE) of NaLi2Tl after structural relaxation.

Cell: 4.8030 4.8030 3.9237 Å, 90.00 90.00 90.00°
Closest atoms and distances in Å follow each position.
Element x y z (fractional)
Na 0.0000 0.0000 0.0000  8 Li 3.10, 4 Tl 3.40
Li 0.0000 0.5000 0.5000  4 Na 3.10, 4 Tl 3.10, 4 Li 3.40
Li 0.5000 0.0000 0.5000  4 Na 3.10, 4 Tl 3.10, 4 Li 3.40
Tl 0.5000 0.5000 0.0000  8 Li 3.10, 4 Na 3.40

Computed properties:
- Offset from the most stable computed form: 0.039 eV per atom
- Crystal system: tetragonal
- Density: 4.4 g/cm³
- DOS at the Fermi energy: 1.79 states/eV/f.u.
- Formation energy from the elements: -107 meV per atom

Entry 6:
The following is a DFT calculation (GGA-PBE) of Na3LiTl4 after structural relaxation.

Cell: 3.5110 3.5110 17.1378 Å, 90.00 90.00 90.00°
Closest atoms and distances in Å follow each position.
Element x y z (fractional)
Na 0.0000 0.0000 0.0000  8 Tl 3.38, 4 Na 3.51
Na 0.0000 0.0000 0.2684  8 Tl 3.35-3.38, 4 Na 3.51
Na 0.0000 0.0000 0.7316  8 Tl 3.35-3.38, 4 Na 3.51
Li 0.0000 0.0000 0.5000  8 Tl 3.02
Tl 0.5000 0.5000 0.1341  8 Na 3.38, 4 Tl 3.51
Tl 0.5000 0.5000 0.3994  4 Li 3.02, 4 Na 3.35
Tl 0.5000 0.5000 0.6006  4 Li 3.02, 4 Na 3.35
Tl 0.5000 0.5000 0.8659  8 Na 3.38, 4 Tl 3.51

Computed properties:
- Offset from the most stable computed form: 0.000 eV per atom
- Crystal system: tetragonal
- Density: 7.0 g/cm³
- DOS at the Fermi energy: 3.50 states/eV/f.u.
- Formation energy from the elements: -134 meV per atom

Entry 7:
The following is a DFT calculation (GGA-PBE) of Na2LiTl2 after structural relaxation.

Cell: 11.0635 3.9224 8.1306 Å, 90.00 132.09 90.00°
Closest atoms and distances in Å follow each position.
Element x y z (fractional)
Na 0.0800 0.0000 0.3864  2 Li 3.28, 3 Na 3.31-3.48, 6 Tl 3.33-3.44
Na 0.4200 0.5000 0.6136  2 Li 3.28, 3 Na 3.31-3.48, 6 Tl 3.33-3.44
Na 0.5800 0.5000 0.3864  2 Li 3.28, 3 Na 3.31-3.48, 6 Tl 3.33-3.44
Na 0.9200 0.0000 0.6136  2 Li 3.28, 3 Na 3.31-3.48, 6 Tl 3.33-3.44
Li 0.0000 0.5000 0.0000  4 Tl 2.95, 4 Na 3.28
Li 0.5000 0.0000 0.0000  4 Tl 2.95, 4 Na 3.28
Tl 0.2397 0.5000 0.8302  2 Li 2.95, 2 Tl 3.27
Tl 0.2603 0.0000 0.1698  2 Li 2.95, 2 Tl 3.27
Tl 0.7397 0.0000 0.8302  2 Li 2.95, 2 Tl 3.27
Tl 0.7603 0.5000 0.1698  2 Li 2.95, 2 Tl 3.27

Computed properties:
- Offset from the most stable computed form: 0.000 eV per atom
- Crystal system: monoclinic
- Density: 5.9 g/cm³
- DOS at the Fermi energy: 1.88 states/eV/f.u.
- Formation energy from the elements: -127 meV per atom

Entry 8:
The following is a DFT calculation (GGA-PBE) of Na5LiTl6 after structural relaxation.

Cell: 7.9094 7.9094 9.3525 Å, 90.00 90.00 145.83°
Closest atoms and distances in Å follow each position.
Element x y z (fractional)
Na 0.0000 0.0000 0.0000  8 Tl 3.41-3.42, 4 Na 3.43
Na 0.3329 0.6671 0.0000  8 Tl 3.33-3.56, 4 Na 3.42-3.43
Na 0.3336 0.6664 0.5000  8 Tl 3.27-3.47, 2 Li 3.43, 2 Na 3.43
Na 0.6664 0.3336 0.5000  8 Tl 3.27-3.47, 2 Li 3.43, 2 Na 3.43
Na 0.6671 0.3329 0.0000  8 Tl 3.33-3.56, 4 Na 3.42-3.43
Li 0.0000 0.0000 0.5000  8 Tl 3.18-3.35, 4 Na 3.43
Tl 0.1613 0.8387 0.2541  7 Na 3.27-3.52, 1 Li 3.35, 4 Tl 3.37-3.55
Tl 0.1613 0.8387 0.7459  7 Na 3.27-3.52, 1 Li 3.35, 4 Tl 3.37-3.55
Tl 0.5000 0.5000 0.2680  2 Li 3.18, 6 Na 3.32-3.56, 4 Tl 3.37
Tl 0.5000 0.5000 0.7320  2 Li 3.18, 6 Na 3.32-3.56, 4 Tl 3.37
Tl 0.8387 0.1613 0.2541  7 Na 3.27-3.52, 1 Li 3.35, 4 Tl 3.37-3.55
Tl 0.8387 0.1613 0.7459  7 Na 3.27-3.52, 1 Li 3.35, 4 Tl 3.37-3.55

Computed properties:
- Crystal system: orthorhombic
- Density: 6.8 g/cm³
- DOS at the Fermi energy: 5.63 states/eV/f.u.
- Formation energy from the elements: -105 meV per atom

Entry 9:
The following is a DFT calculation (GGA-PBE) of NaLi7Tl4 after structural relaxation.

Cell: 6.0060 6.0060 10.5664 Å, 115.88 115.88 50.93°
Closest atoms and distances in Å follow each position.
Element x y z (fractional)
Na 0.0000 0.0000 0.0000  2 Li 2.58
Li 0.0358 0.0358 0.3709  5 Li 2.94-3.18, 4 Tl 3.05-3.14
Li 0.2177 0.2177 0.9142  4 Li 2.74-3.04, 4 Tl 2.79-2.89, 1 Na 2.91
Li 0.3530 0.3530 0.4622  4 Tl 2.84-2.98, 4 Li 2.89-3.09
Li 0.5000 0.5000 0.0000  2 Na 2.58, 2 Li 2.74
Li 0.6470 0.6470 0.5378  4 Tl 2.84-2.98, 4 Li 2.89-3.09
Li 0.7823 0.7823 0.0858  4 Li 2.74-3.04, 4 Tl 2.79-2.89, 1 Na 2.91
Li 0.9642 0.9642 0.6291  5 Li 2.94-3.18, 4 Tl 3.05-3.14
Tl 0.2754 0.2754 0.6837  6 Li 2.79-3.06
Tl 0.3946 0.3946 0.2128  7 Li 2.79-3.05
Tl 0.6054 0.6054 0.7872  7 Li 2.79-3.05
Tl 0.7246 0.7246 0.3163  6 Li 2.79-3.06

Computed properties:
- Offset from the most stable computed form: 0.012 eV per atom
- Crystal system: monoclinic
- Density: 5.7 g/cm³
- DOS at the Fermi energy: 5.00 states/eV/f.u.
- Formation energy from the elements: -116 meV per atom

Entry 10:
The following is a DFT calculation (GGA-PBE) of NaLiTl4 after structural relaxation.

Cell: 6.4401 6.4401 6.4401 Å, 60.00 60.00 60.00°
Closest atoms and distances in Å follow each position.
Element x y z (fractional)
Na 0.0000 0.0000 0.0000  12 Tl 3.78, 4 Li 3.94
Li 0.7500 0.7500 0.7500  12 Tl 3.78, 4 Na 3.94
Tl 0.3752 0.3752 0.3752  6 Tl 3.21-3.23
Tl 0.3752 0.3752 0.8744  6 Tl 3.21-3.23
Tl 0.3752 0.8744 0.3752  6 Tl 3.21-3.23
Tl 0.8744 0.3752 0.3752  6 Tl 3.21-3.23

Computed properties:
- Offset from the most stable computed form: 0.125 eV per atom
- Crystal system: cubic
- Density: 7.5 g/cm³
- DOS at the Fermi energy: 3.03 states/eV/f.u.
- Formation energy from the elements: 14 meV per atom